Compound: BaSrNb4O12
Source: the Alexandria database
Functional: PBE
Structure: optimized geometry

**Energy**: -8.43 eV per atom
**V**: 14.565 Å³ per atom

a = 5.702 Å, b = 5.702 Å, c = 8.063 Å
α = 90.00°, β = 90.00°, γ = 90.00°
Space group P4/mmm (No. 123)
Asymmetric unit:
Ba 0.000 0.000 0.000 x1
Sr 0.500 0.500 0.500 x1
Nb 0.000 0.500 0.252 x4
O 0.000 0.500 0.000 x2
O 0.000 0.500 0.500 x2
O 0.252 0.252 0.254 x8

=====

Compound: Ca2MoIr
Source: the Alexandria database
Functional: PBE
Structure: optimized geometry

**Energy**: -5.41 eV per atom
**Polymorph energy (0 for the lowest one)**: 47.9 kJ per mole of atoms
**V**: 20.056 Å³ per atom
**DFT formation energy**: 2.0 eV/f.u.

a = 5.540 Å, b = 9.583 Å, c = 3.022 Å
α = 90.00°, β = 90.00°, γ = 90.00°
Space group Cmmm (No. 65)
Asymmetric unit:
Ca 0.250 0.250 0.000 x4
Mo 0.000 0.000 0.500 x2
Ir 0.000 0.500 0.500 x2

=====

Compound: AgP2PtS
Source: the Alexandria database
Functional: PBE
Structure: optimized geometry

**Energy**: -4.03 eV per atom
**Polymorph energy (0 for the lowest one)**: 0.0 kJ per mole of atoms
**V**: 21.852 Å³ per atom

a = 4.570 Å, b = 4.570 Å, c = 5.231 Å
α = 90.00°, β = 90.00°, γ = 90.00°
Space group P4/mmm (No. 123)
Asymmetric unit:
Ag 0.000 0.000 0.000 x1
P 0.000 0.500 0.500 x2
Pt 0.500 0.500 0.500 x1
S 0.500 0.500 0.000 x1

=====

Compound: CaFe2As
Source: the Alexandria database
Functional: PBE
Structure: optimized geometry

**Energy**: -5.95 eV per atom
**V**: 18.305 Å³ per atom
**DFT formation energy**: -0.2 eV/f.u.

a = 3.232 Å, b = 3.840 Å, c = 6.108 Å
α = 90.00°, β = 105.03°, γ = 90.00°
Space group Pm (No. 6)
Asymmetric unit:
Ca 0.000 0.000 0.000 x1
Fe 0.248 0.000 0.483 x1
Fe 0.711 0.500 0.411 x1
As 0.367 0.500 0.729 x1

=====

Compound: PrEuTl2
Source: the Alexandria database
Functional: PBE
Structure: optimized geometry

**Energy**: -5.33 eV per atom
**Polymorph energy (0 for the lowest one)**: 2.1 kJ per mole of atoms
**V**: 30.933 Å³ per atom
**DFT formation energy**: -1.6 eV/f.u.

a = 7.910 Å, b = 7.910 Å, c = 7.910 Å
α = 90.00°, β = 90.00°, γ = 90.00°
Space group Fm-3m (No. 225)
Asymmetric unit:
Pr 0.000 0.000 0.000 x4
Eu 0.000 0.000 0.500 x4
Tl 0.250 0.250 0.250 x8

=====

Compound: K2AgOs
Source: the Alexandria database
Functional: PBE
Structure: optimized geometry

**Energy**: -3.07 eV per atom
**Polymorph energy (0 for the lowest one)**: 12.6 kJ per mole of atoms
**V**: 31.762 Å³ per atom
**DFT formation energy**: 4.0 eV/f.u.

a = 3.577 Å, b = 3.577 Å, c = 9.929 Å
α = 90.00°, β = 90.00°, γ = 90.00°
Space group P4mm (No. 99)
Asymmetric unit:
K 0.000 0.000 0.000 x1
K 0.500 0.500 0.431 x1
Ag 0.500 0.500 0.760 x1
Os 0.000 0.000 0.676 x1

=====

Compound: Sc8P3Se4O
Source: the Alexandria database
Functional: PBE
Structure: optimized geometry

**Energy**: -7.08 eV per atom
**V**: 18.761 Å³ per atom

a = 7.4379 Å, b = 7.4379 Å, c = 18.7957 Å
α = 90.00°, β = 90.00°, γ = 120.00°
Space group R-3m (No. 166, hexagonal axes)
Asymmetric unit:
Sc 0.0000 0.0000 0.2416 x6
Sc 0.0138 0.5069 0.2380 x18
P 0.0000 0.5000 0.5000 x9
Se 0.0000 0.0000 0.0000 x3
Se 0.0000 0.5000 0.0000 x9
O 0.0000 0.0000 0.5000 x3

=====

Compound: UBi2Rh
Source: the Alexandria database
Functional: PBE
Structure: optimized geometry

**Energy**: -6.29 eV per atom
**V**: 25.712 Å³ per atom
**DFT formation energy**: 1.2 eV/f.u.

a = 3.3615 Å, b = 3.3615 Å, c = 31.5297 Å
α = 90.00°, β = 90.00°, γ = 120.00°
Space group R-3m (No. 166, hexagonal axes)
Asymmetric unit:
U 0.0000 0.0000 0.0000 x3
Bi 0.0000 0.0000 0.1026 x6
Rh 0.0000 0.0000 0.5000 x3

=====

One value per record, in order, for spin magnetization: 0.000; 0.000; 0.001; 4.995; 7.608; 0.000; 0.000; 3.334 μB per formula unit.